Entry i
Density functional theory data (PBE) for an optimized crystal structure of LiScBr2.

The space group is R-3m (No. 166, hexagonal axes) and the conventional cell measures 3.6544, 3.6544 and 27.4351 Å, with angles of 90.00, 90.00 and 120.00 degrees. The distinct sites, in fractional coordinates, are Li at (0.0000, 0.0000, 0.0000), Sc at (0.0000, 0.0000, 0.5000) and Br at (0.0000, 0.0000, 0.1023).

Its crystal system is trigonal. Its density of states at the Fermi level is 0.772 states/eV per atom.

=====

Entry ii
Density functional theory data (PBE) for an optimized crystal structure of LiScBr2.

The space group is Cmmm (No. 65) and the conventional cell measures 3.515, 6.568 and 8.237 Å, with angles of 90.00, 90.00 and 90.00 degrees. The distinct sites, in fractional coordinates, are Li at (0.000, 0.000, 0.000), Sc at (0.000, 0.000, 0.500) and Br at (0.000, 0.500, 0.226).

Its crystal system is orthorhombic. Its density of states at the Fermi level is 0.525 states/eV per atom.

=====

Entry iii
Density functional theory data (PBE) for an optimized crystal structure of LiScBr2.

The space group is R-3m (No. 166, hexagonal axes) and the conventional cell measures 3.7842, 3.7842 and 24.9602 Å, with angles of 90.00, 90.00 and 120.00 degrees. The distinct sites, in fractional coordinates, are Li at (0.0000, 0.0000, 0.0000), Sc at (0.0000, 0.0000, 0.5000) and Br at (0.0000, 0.0000, 0.3952).

Its crystal system is trigonal. Its density of states at the Fermi level is 0.258 states/eV per atom.

=====

Entry iv
Density functional theory data (PBE) for an optimized crystal structure of LiScBr2.

The space group is P4/mmm (No. 123) and the conventional cell measures 3.468, 3.468 and 6.832 Å, with angles of 90.00, 90.00 and 90.00 degrees. The distinct sites, in fractional coordinates, are Li at (0.000, 0.000, 0.000), Sc at (0.000, 0.000, 0.500) and Br at (0.500, 0.500, 0.263).

Its crystal system is tetragonal. Its density of states at the Fermi level is 0.179 states/eV per atom.

=====

Most stable one: entry iii, least stable one: entry iv.